Density functional theory data (PBE-GGA) for a relaxed Zr3Rh2Au crystal.

## Properties
formation energy from the elements = -0.662 eV per atom
energy = -7.933 eV/atom
space-group type = P4/mmm, No. 123

Structure (POSCAR):
```
Zr3Rh2Au
1.0
-3.099 -1.046 -0.427
0.931 -1.659 -2.695
2.006 -8.311 5.809
Zr Rh Au
3 2 1
Direct
0.000 0.000 0.682 Zr
0.000 0.000 0.000 Zr
0.000 0.000 0.318 Zr
0.500 0.500 0.158 Rh
0.500 0.500 0.842 Rh
0.500 0.500 0.500 Au
```

---

Density functional theory data (PBE-GGA) for a relaxed Ta2VH2 crystal.

## Properties
relative energy among the computed polymorphs = 0.0842 eV/atom
energy = -7.953 eV/atom
space-group type = P-3m1, No. 164

Structure (POSCAR):
```
Ta2VH2
1.0
-1.809 -2.216 0.992
0.915 0.029 -2.886
5.494 -3.722 1.704
V Ta H
1 2 2
Direct
0.000 0.000 0.000 V
0.333 0.667 0.671 Ta
0.667 0.333 0.329 Ta
0.333 0.667 0.146 H
0.667 0.333 0.854 H
```

---

Density functional theory data (PBE-GGA) for a relaxed ReRuAu crystal.

## Properties
formation energy from the elements = 0.892 eV per atom
relative energy among the computed polymorphs = 0.7240 eV/atom
energy = -7.442 eV/atom
space-group type = F-43m, No. 216

Structure (POSCAR):
```
ReRuAu
1.0
4.272 0.000 0.000
2.136 3.700 0.000
2.136 1.233 3.488
Au Re Ru
1 1 1
Direct
0.500 0.500 0.500 Au
0.750 0.750 0.750 Re
0.000 0.000 0.000 Ru
```

---

Density functional theory data (PBE-GGA) for a relaxed PuScAg4 crystal.

## Properties
formation energy from the elements = 0.009 eV per atom
energy = -5.335 eV/atom
space-group type = F-43m, No. 216

Structure (POSCAR):
```
PuScAg4
1.0
-1.943 3.246 -4.171
-5.111 2.329 0.393
-0.511 5.556 0.761
Ag Sc Pu
4 1 1
Direct
0.124 0.625 0.625 Ag
0.625 0.625 0.124 Ag
0.625 0.625 0.625 Ag
0.625 0.124 0.625 Ag
0.000 0.000 0.000 Sc
0.250 0.250 0.250 Pu
```

---

Density functional theory data (PBE-GGA) for a relaxed K4ReSe crystal.

## Properties
formation energy (no corrections) = 99.4 kJ per mole of atoms
energy = -2.357 eV/atom
space-group type = F-43m, No. 216

Structure (POSCAR):
```
K4ReSe
1.0
-3.994 -5.516 -0.261
-5.039 -0.345 -4.576
0.468 -4.300 -5.266
Se K Re
1 4 1
Direct
0.000 0.000 0.000 Se
0.374 0.879 0.374 K
0.374 0.374 0.374 K
0.374 0.374 0.879 K
0.879 0.374 0.374 K
0.750 0.750 0.750 Re
```

---

Density functional theory data (PBE-GGA) for a relaxed KTa2Cd crystal.

## Properties
formation energy from the elements = 1.009 eV per atom
energy = -5.420 eV/atom
space-group type = Pmmm, No. 47

Structure (POSCAR):
```
KTa2Cd
1.0
2.921 0.000 0.000
0.000 5.239 0.000
0.000 0.000 5.877
K Ta Cd
1 2 1
Direct
0.000 0.500 0.500 K
0.500 0.500 0.000 Ta
0.000 0.000 0.000 Ta
0.500 0.000 0.500 Cd
```

---

For the records above, the corresponding total moment values read 0.00; 0.00; 0.00; 6.45; 4.08; 0.57 μB per formula unit.